ZrTlGe2F | Alexandria via LeMat-Bulk | PBE | optimized geometry; DOS at the Fermi energy = 0.656 states/eV per atom; crystal system = tetragonal; VASP energy = -4.14 eV/atom
1.0
5.219 0.000 0.000
0.000 5.219 0.000
0.000 0.000 4.404
Zr Tl Ge F
1 1 2 1
Direct
0.000 0.000 0.000
0.500 0.500 0.500
0.000 0.500 0.500
0.500 0.000 0.500
0.500 0.500 0.000